(1)
Computed, not measured: crystalline Sc3IrRu at its relaxed geometry at the PBE level of DFT.

Properties
For the formation enthalpy at 0 K, the calculation gives 151 meV/atom. Its symmetry is No. 221. As for the raw total energy: -7.28 eV/atom.

Cell lengths 4.815, 4.815, 4.815 Å; angles 90.00, 90.00, 90.00 degrees
Positions (direct):
1 Sc 0.000 0.500 0.000
2 Sc 0.000 0.000 0.500
3 Sc 0.500 0.000 0.000
4 Ru 0.000 0.000 0.000
5 Ir 0.500 0.500 0.500

---

(2)
Computed, not measured: crystalline Sc5Ir4Ru at its relaxed geometry at the PBE level of DFT.

Properties
For the formation enthalpy at 0 K, the calculation gives -943 meV/atom. Its symmetry is No. 123. As for the raw total energy: -8.58 eV/atom.

Cell lengths 3.216, 3.216, 16.159 Å; angles 90.00, 90.00, 90.00 degrees
Positions (direct):
1 Sc 0.500 0.500 0.097
2 Sc 0.500 0.500 0.298
3 Sc 0.500 0.500 0.500
4 Sc 0.500 0.500 0.702
5 Sc 0.500 0.500 0.903
6 Ir 0.000 0.000 0.199
7 Ir 0.000 0.000 0.400
8 Ir 0.000 0.000 0.600
9 Ir 0.000 0.000 0.801
10 Ru 0.000 0.000 0.000

---

(3)
Computed, not measured: crystalline Sc2IrRu at its relaxed geometry at the PBE level of DFT.

Properties
For the formation enthalpy at 0 K, the calculation gives -431 meV/atom. Its symmetry is No. 25. As for the raw total energy: -8.13 eV/atom.

Cell lengths 2.980, 4.320, 5.406 Å; angles 90.00, 90.00, 90.00 degrees
Positions (direct):
1 Ir 0.000 0.000 0.460
2 Ru 0.500 0.500 0.790
3 Sc 0.000 0.000 0.954
4 Sc 0.500 0.500 0.296